No. 1
A plane-wave DFT calculation with PBE was carried out for an optimized crystal structure of LaAl2Pb.

Geometry as extended XYZ:
```
4
Lattice="3.437 0.000 0.000 0.000 5.040 0.000 0.000 0.000 5.985" Properties=species:S:1:pos:R:3 pbc="T T T"
La 0.000 0.000 0.000
Al 1.719 2.520 1.370
Al 1.719 2.520 4.615
Pb 1.719 0.000 2.993
```

N(E_F) (states/eV per cell): 3.7
Formation energy (eV/atom): -0.13
Symmetry: No. 47
Crystal system: orthorhombic

No. 2
A plane-wave DFT calculation with PBE was carried out for an optimized crystal structure of Er3ScIn12.

Geometry as extended XYZ:
```
16
Lattice="4.596 0.000 0.000 0.000 4.596 0.000 0.000 0.000 18.474" Properties=species:S:1:pos:R:3 pbc="T T T"
Er 0.000 0.000 0.000
Er 0.000 0.000 4.675
Er 0.000 0.000 13.800
Sc 0.000 0.000 9.237
In 0.000 2.298 2.332
In 0.000 2.298 7.002
In 0.000 2.298 11.472
In 0.000 2.298 16.142
In 2.298 0.000 2.332
In 2.298 0.000 7.002
In 2.298 0.000 11.472
In 2.298 0.000 16.142
In 2.298 2.298 0.000
In 2.298 2.298 4.649
In 2.298 2.298 9.237
In 2.298 2.298 13.825
```

N(E_F) (states/eV per cell): 10.0
Formation energy (eV/atom): -0.36
Symmetry: No. 123
Crystal system: tetragonal

No. 3
A plane-wave DFT calculation with PBE was carried out for an optimized crystal structure of BeAlFe6.

Geometry as extended XYZ:
```
32
Lattice="3.439 -5.159 0.000 3.439 5.159 0.000 0.000 0.000 10.286" Properties=species:S:1:pos:R:3 pbc="T T T"
Be 0.000 0.000 2.521
Be 0.000 0.000 7.765
Be 3.439 2.539 0.000
Be 3.439 -2.539 0.000
Al 3.439 2.527 5.143
Al 3.439 0.000 2.544
Al 3.439 0.000 7.742
Al 3.439 -2.527 5.143
Fe 0.000 0.000 0.000
Fe 0.000 0.000 5.143
Fe 1.668 1.310 1.242
Fe 1.668 1.310 9.044
Fe 1.656 1.269 3.806
Fe 1.656 1.269 6.480
Fe 3.439 2.570 2.504
Fe 3.439 2.570 7.782
Fe 1.656 -1.269 3.806
Fe 1.656 -1.269 6.480
Fe 1.668 -1.310 1.242
Fe 1.668 -1.310 9.044
Fe 3.439 0.000 0.000
Fe 3.439 0.000 5.143
Fe 5.211 1.310 1.242
Fe 5.211 1.310 9.044
Fe 5.223 1.269 3.806
Fe 5.223 1.269 6.480
Fe 3.439 -2.570 2.504
Fe 3.439 -2.570 7.782
Fe 5.223 -1.269 3.806
Fe 5.223 -1.269 6.480
Fe 5.211 -1.310 1.242
Fe 5.211 -1.310 9.044
```

N(E_F) (states/eV per cell): 26.5
Formation energy (eV/atom): -0.10
Symmetry: No. 65
Crystal system: orthorhombic

No. 4
A plane-wave DFT calculation with PBE was carried out for an optimized crystal structure of AgMoH.

Geometry as extended XYZ:
```
12
Lattice="6.548 0.000 0.000 0.000 3.228 0.000 0.000 0.000 7.441" Properties=species:S:1:pos:R:3 pbc="T T T"
Ag 0.013 0.807 1.185
Ag 3.261 2.421 4.906
Ag 3.287 0.807 2.535
Ag 6.535 2.421 6.255
Mo 0.893 0.807 4.010
Mo 2.381 2.421 0.290
Mo 4.167 0.807 7.151
Mo 5.655 2.421 3.431
H 0.933 2.421 2.888
H 2.341 0.807 6.609
H 4.207 2.421 0.832
H 5.615 0.807 4.553
```

N(E_F) (states/eV per cell): 1.9
Energy above the most stable polymorph in this dataset (meV per atom): 0.0
Symmetry: No. 62
Crystal system: orthorhombic